No. 1
# MnWSe2 GGA-PBE relaxed
# Crystal system: orthorhombic
# Raw formation energy in meV per atom: 581
# Energy in eV/cell: -26.768
# DOS at the Fermi energy in states/eV/cell: 2.74
data_MnWSe2
_cell_length_a 3.1125
_cell_length_b 5.8532
_cell_length_c 4.0189
_cell_angle_alpha 90.00
_cell_angle_beta 90.00
_cell_angle_gamma 90.00
_space_group_name_H-M_alt 'P 1'
_space_group_IT_number 1
_space_group_name_Hall 'P 1'
loop_
_atom_site_label
_atom_site_type_symbol
_atom_site_fract_x
_atom_site_fract_y
_atom_site_fract_z
Mn1 Mn 0.0000 0.5000 0.5000
Se1 Se 0.0000 0.0000 0.0000
Se2 Se 0.5000 0.5000 0.0000
W1 W 0.5000 0.0000 0.5000


No. 2
# MnWSe2 GGA-PBE relaxed
# Crystal system: monoclinic
# Raw formation energy in meV per atom: 73
# Energy in eV/cell: -28.799
# DOS at the Fermi energy in states/eV/cell: 1.22
data_MnWSe2
_cell_length_a 4.4279
_cell_length_b 4.4279
_cell_length_c 6.5273
_cell_angle_alpha 81.20
_cell_angle_beta 81.20
_cell_angle_gamma 43.42
_space_group_name_H-M_alt 'P 1'
_space_group_IT_number 1
_space_group_name_Hall 'P 1'
loop_
_atom_site_label
_atom_site_type_symbol
_atom_site_fract_x
_atom_site_fract_y
_atom_site_fract_z
Mn1 Mn 0.2415 0.2415 0.2810
Se1 Se 0.9851 0.9851 0.1394
Se2 Se 0.7744 0.7744 0.6336
W1 W 0.4989 0.4989 0.4460


No. 3
# Mn2WSe GGA-PBE relaxed
# Crystal system: cubic
# Raw formation energy in meV per atom: 434
# Energy in eV/cell: -33.043
# DOS at the Fermi energy in states/eV/cell: 3.79
data_Mn2WSe
_cell_length_a 4.2616
_cell_length_b 4.2616
_cell_length_c 4.2616
_cell_angle_alpha 60.00
_cell_angle_beta 60.00
_cell_angle_gamma 60.00
_space_group_name_H-M_alt 'P 1'
_space_group_IT_number 1
_space_group_name_Hall 'P 1'
loop_
_atom_site_label
_atom_site_type_symbol
_atom_site_fract_x
_atom_site_fract_y
_atom_site_fract_z
Mn1 Mn 0.0000 0.0000 0.0000
Mn2 Mn 0.2500 0.2500 0.2500
Se1 Se 0.5000 0.5000 0.5000
W1 W 0.7500 0.7500 0.7500


No. 4
# Mn2WSe GGA-PBE relaxed
# Crystal system: tetragonal
# Raw formation energy in meV per atom: 390
# Energy in eV/cell: -33.215
# DOS at the Fermi energy in states/eV/cell: 2.11
data_Mn2WSe
_cell_length_a 4.2233
_cell_length_b 4.2233
_cell_length_c 3.0117
_cell_angle_alpha 90.00
_cell_angle_beta 90.00
_cell_angle_gamma 90.00
_space_group_name_H-M_alt 'P 1'
_space_group_IT_number 1
_space_group_name_Hall 'P 1'
loop_
_atom_site_label
_atom_site_type_symbol
_atom_site_fract_x
_atom_site_fract_y
_atom_site_fract_z
Mn1 Mn 0.0000 0.0000 0.0000
Mn2 Mn 0.5000 0.5000 0.0000
Se1 Se 0.5000 0.0000 0.5000
W1 W 0.0000 0.5000 0.5000


No. 5
# MnW4Se8 GGA-PBE relaxed
# Crystal system: trigonal
# Raw formation energy in meV per atom: -164
# Energy in eV/cell: -90.995
# DOS at the Fermi energy in states/eV/cell: 8.74
data_MnW4Se8
_cell_length_a 6.6412
_cell_length_b 6.6412
_cell_length_c 8.1341
_cell_angle_alpha 90.00
_cell_angle_beta 114.09
_cell_angle_gamma 120.00
_space_group_name_H-M_alt 'P 1'
_space_group_IT_number 1
_space_group_name_Hall 'P 1'
loop_
_atom_site_label
_atom_site_type_symbol
_atom_site_fract_x
_atom_site_fract_y
_atom_site_fract_z
Mn1 Mn 0.0000 0.5000 0.5000
W1 W 0.0000 0.0000 0.0000
W2 W 0.0000 0.5000 0.0000
W3 W 0.5000 0.5000 0.0000
W4 W 0.5000 0.0000 0.0000
Se1 Se 0.4928 0.7464 0.2391
Se2 Se 0.5072 0.2536 0.7609
Se3 Se 0.4958 0.2479 0.2423
Se4 Se 0.0056 0.2535 0.7577
Se5 Se 0.5042 0.7521 0.7577
Se6 Se 0.0056 0.7521 0.7577
Se7 Se 0.9944 0.2479 0.2423
Se8 Se 0.9944 0.7465 0.2423


No. 6
# Mn2WSe GGA-PBE relaxed
# Crystal system: orthorhombic
# Raw formation energy in meV per atom: 323
# Energy in eV/cell: -33.487
# DOS at the Fermi energy in states/eV/cell: 3.08
data_Mn2WSe
_cell_length_a 4.5300
_cell_length_b 5.9942
_cell_length_c 3.0516
_cell_angle_alpha 59.50
_cell_angle_beta 89.94
_cell_angle_gamma 119.38
_space_group_name_H-M_alt 'P 1'
_space_group_IT_number 1
_space_group_name_Hall 'P 1'
loop_
_atom_site_label
_atom_site_type_symbol
_atom_site_fract_x
_atom_site_fract_y
_atom_site_fract_z
Mn1 Mn 0.0000 0.0000 0.0000
Mn2 Mn 0.0000 0.5000 0.5000
Se1 Se 0.5000 0.5000 0.0000
W1 W 0.5000 0.0000 0.5000


No. 7
# Mn2WSe6 GGA-PBE relaxed
# Crystal system: monoclinic
# Raw formation energy in meV per atom: -416
# Energy in eV/cell: -55.943
# DOS at the Fermi energy in states/eV/cell: 2.78
data_Mn2WSe6
_cell_length_a 3.3605
_cell_length_b 8.0749
_cell_length_c 8.6367
_cell_angle_alpha 116.77
_cell_angle_beta 101.22
_cell_angle_gamma 90.00
_space_group_name_H-M_alt 'P 1'
_space_group_IT_number 1
_space_group_name_Hall 'P 1'
loop_
_atom_site_label
_atom_site_type_symbol
_atom_site_fract_x
_atom_site_fract_y
_atom_site_fract_z
Mn1 Mn 0.8462 0.7012 0.6924
Mn2 Mn 0.1538 0.2988 0.3076
W1 W 0.5000 0.0000 0.0000
Se1 Se 0.3329 0.9039 0.6659
Se2 Se 0.0036 0.2450 0.0072
Se3 Se 0.6799 0.5434 0.3597
Se4 Se 0.9964 0.7550 0.9928
Se5 Se 0.6671 0.0961 0.3341
Se6 Se 0.3201 0.4566 0.6403


No. 8
# MnWSe2 GGA-PBE relaxed
# Crystal system: trigonal
# Raw formation energy in meV per atom: 143
# Energy in eV/cell: -28.521
# DOS at the Fermi energy in states/eV/cell: 4.07
data_MnWSe2
_cell_length_a 8.6649
_cell_length_b 8.6649
_cell_length_c 8.6649
_cell_angle_alpha 21.62
_cell_angle_beta 21.62
_cell_angle_gamma 21.62
_space_group_name_H-M_alt 'P 1'
_space_group_IT_number 1
_space_group_name_Hall 'P 1'
loop_
_atom_site_label
_atom_site_type_symbol
_atom_site_fract_x
_atom_site_fract_y
_atom_site_fract_z
Mn1 Mn 0.0000 0.0000 0.0000
Se1 Se 0.9026 0.9026 0.9026
Se2 Se 0.0974 0.0974 0.0974
W1 W 0.5000 0.5000 0.5000


No. 9
# Mn2WSe GGA-PBE relaxed
# Crystal system: tetragonal
# Raw formation energy in meV per atom: 206
# Energy in eV/cell: -33.951
# DOS at the Fermi energy in states/eV/cell: 3.90
data_Mn2WSe
_cell_length_a 3.2635
_cell_length_b 3.2625
_cell_length_c 6.3417
_cell_angle_alpha 59.02
_cell_angle_beta 90.00
_cell_angle_gamma 90.00
_space_group_name_H-M_alt 'P 1'
_space_group_IT_number 1
_space_group_name_Hall 'P 1'
loop_
_atom_site_label
_atom_site_type_symbol
_atom_site_fract_x
_atom_site_fract_y
_atom_site_fract_z
Mn1 Mn 0.0000 0.0108 0.9890
Mn2 Mn 0.0000 0.4892 0.5110
Se1 Se 0.5000 0.2500 0.2500
W1 W 0.5000 0.7500 0.7500


No. 10
# Mn2WSe GGA-PBE relaxed
# Crystal system: tetragonal
# Raw formation energy in meV per atom: 784
# Energy in eV/cell: -63.280
# DOS at the Fermi energy in states/eV/cell: 16.79
data_Mn2WSe
_cell_length_a 6.5972
_cell_length_b 6.5972
_cell_length_c 5.3586
_cell_angle_alpha 52.01
_cell_angle_beta 52.01
_cell_angle_gamma 90.00
_space_group_name_H-M_alt 'P 1'
_space_group_IT_number 1
_space_group_name_Hall 'P 1'
loop_
_atom_site_label
_atom_site_type_symbol
_atom_site_fract_x
_atom_site_fract_y
_atom_site_fract_z
Mn1 Mn 0.5935 0.1250 0.2500
Mn2 Mn 0.1565 0.6250 0.2500
Mn3 Mn 0.3750 0.4065 0.7500
Mn4 Mn 0.8750 0.8435 0.7500
Se1 Se 0.5000 0.5000 0.0000
Se2 Se 0.2500 0.7500 0.5000
W1 W 0.0000 0.0000 0.0000
W2 W 0.7500 0.2500 0.5000


No. 11
# Mn3WSe GGA-PBE relaxed
# Crystal system: cubic
# Raw formation energy in meV per atom: 1330
# Energy in eV/cell: -37.298
# DOS at the Fermi energy in states/eV/cell: 4.89
data_Mn3WSe
_cell_length_a 4.6891
_cell_length_b 4.6891
_cell_length_c 4.6891
_cell_angle_alpha 90.00
_cell_angle_beta 90.00
_cell_angle_gamma 90.00
_space_group_name_H-M_alt 'P 1'
_space_group_IT_number 1
_space_group_name_Hall 'P 1'
loop_
_atom_site_label
_atom_site_type_symbol
_atom_site_fract_x
_atom_site_fract_y
_atom_site_fract_z
Mn1 Mn 0.0000 0.5000 0.0000
Mn2 Mn 0.0000 0.0000 0.5000
Mn3 Mn 0.5000 0.0000 0.0000
Se1 Se 0.5000 0.5000 0.5000
W1 W 0.0000 0.0000 0.0000


No. 12
# Mn2WSe GGA-PBE relaxed
# Crystal system: trigonal
# Raw formation energy in meV per atom: 305
# Energy in eV/cell: -33.556
# DOS at the Fermi energy in states/eV/cell: 3.00
data_Mn2WSe
_cell_length_a 7.9580
_cell_length_b 7.9580
_cell_length_c 7.9580
_cell_angle_alpha 22.01
_cell_angle_beta 22.01
_cell_angle_gamma 22.01
_space_group_name_H-M_alt 'P 1'
_space_group_IT_number 1
_space_group_name_Hall 'P 1'
loop_
_atom_site_label
_atom_site_type_symbol
_atom_site_fract_x
_atom_site_fract_y
_atom_site_fract_z
Mn1 Mn 0.9982 0.9982 0.9982
Mn2 Mn 0.5018 0.5018 0.5018
Se1 Se 0.2500 0.2500 0.2500
W1 W 0.7500 0.7500 0.7500


Please write out number 2 again, unchanged.
# MnWSe2 GGA-PBE relaxed
# Crystal system: monoclinic
# Raw formation energy in meV per atom: 73
# Energy in eV/cell: -28.799
# DOS at the Fermi energy in states/eV/cell: 1.22
data_MnWSe2
_cell_length_a 4.4279
_cell_length_b 4.4279
_cell_length_c 6.5273
_cell_angle_alpha 81.20
_cell_angle_beta 81.20
_cell_angle_gamma 43.42
_space_group_name_H-M_alt 'P 1'
_space_group_IT_number 1
_space_group_name_Hall 'P 1'
loop_
_atom_site_label
_atom_site_type_symbol
_atom_site_fract_x
_atom_site_fract_y
_atom_site_fract_z
Mn1 Mn 0.2415 0.2415 0.2810
Se1 Se 0.9851 0.9851 0.1394
Se2 Se 0.7744 0.7744 0.6336
W1 W 0.4989 0.4989 0.4460


energy of number 1 (MnWSe2)?
-26.768 eV/cell